Record 1
DFT (PBE) results for a relaxed La9Fe2Pb3 crystal.

Output
spin magnetization = 0.0 μB/f.u.
E = -5.52 eV per atom

```
data_La9Fe2Pb3
_space_group_name_H-M_alt 'P -3 m 1'
_space_group_IT_number 164
_space_group_name_Hall '-P 3 2"'
_cell_length_a 7.4201
_cell_length_b 7.4201
_cell_length_c 9.1330
_cell_angle_alpha 90.00
_cell_angle_beta 90.00
_cell_angle_gamma 120.00
loop_
_atom_site_label
_atom_site_type_symbol
_atom_site_fract_x
_atom_site_fract_y
_atom_site_fract_z
La1 La 0.0000 0.5000 0.0000
La2 La 0.1658 0.3316 0.6662
Fe1 Fe 0.3333 0.6667 0.8170
Pb1 Pb 0.0000 0.0000 0.0000
Pb2 Pb 0.3333 0.6667 0.3359
```

***

Record 2
DFT (PBE) results for a relaxed RbAcPbO4 crystal.

Output
spin magnetization = 0.0 μB/f.u.
uncorrected formation energy = -12.8 eV per formula unit

```
data_RbAcPbO4
_space_group_name_H-M_alt 'I m m a'
_space_group_IT_number 74
_space_group_name_Hall '-I 2b 2'
_cell_length_a 7.002
_cell_length_b 7.955
_cell_length_c 10.334
_cell_angle_alpha 90.00
_cell_angle_beta 90.00
_cell_angle_gamma 90.00
loop_
_atom_site_label
_atom_site_type_symbol
_atom_site_fract_x
_atom_site_fract_y
_atom_site_fract_z
Rb1 Rb 0.000 0.250 0.131
Ac1 Ac 0.000 0.000 0.500
Pb1 Pb 0.250 0.250 0.750
O1 O 0.000 0.063 0.746
O2 O 0.214 0.250 0.535
```